Below is LaMg2Rh after structural relaxation, with properties calculated at the GGA-PBE level.

Properties
The calculation puts the density of states at the Fermi level at 2.3 states/eV/f.u. Its space group is P2/m (10). The value obtained for the total DFT energy (no corrections) is -4.137 eV/atom. The value obtained for the energy relative to the elements is -0.270 eV per atom. The crystal system is monoclinic.

a b c (Å): 3.4348 4.9431 5.5584
angles (deg): 90.00 107.24 90.00
Closest atoms and distances in Å follow each position.
Fractional positions:
La 0.0000 0.0000 0.0000  2 Rh 2.78
Mg 0.3528 0.5000 0.7102  3 Mg 2.81-3.08, 2 Rh 2.85
Mg 0.6472 0.5000 0.2898  3 Mg 2.81-3.08, 2 Rh 2.85
Rh 0.0000 0.0000 0.5000  2 La 2.78, 4 Mg 2.85

=====

Below is La6MgRh after structural relaxation, with properties calculated at the GGA-PBE level.

Properties
The calculation puts the density of states at the Fermi level at 9.4 states/eV/f.u. Its space group is C2/m (12). The value obtained for the total DFT energy (no corrections) is -4.891 eV/atom. The value obtained for the energy relative to the elements is -0.077 eV per atom. The crystal system is monoclinic.

a b c (Å): 7.0728 7.0728 6.7112
angles (deg): 103.53 103.53 115.11
Closest atoms and distances in Å follow each position.
Fractional positions:
La 0.0121 0.6014 0.7520  1 Rh 2.97, 1 La 3.28, 1 Mg 3.29
La 0.2289 0.2289 0.7923  1 Rh 2.66
La 0.3986 0.9879 0.2480  1 Rh 2.97, 1 La 3.28, 1 Mg 3.29
La 0.6014 0.0121 0.7520  1 Rh 2.97, 1 La 3.28, 1 Mg 3.29
La 0.7711 0.7711 0.2077  1 Rh 2.66
La 0.9879 0.3986 0.2480  1 Rh 2.97, 1 La 3.28, 1 Mg 3.29
Mg 0.5000 0.5000 0.5000  6 La 3.29-3.41
Rh 0.0000 0.0000 0.0000  6 La 2.66-2.97

=====

Below is LaMg4Rh after structural relaxation, with properties calculated at the GGA-PBE level.

Properties
The calculation puts the density of states at the Fermi level at 0.3 states/eV/f.u. Its space group is F-43m (216). The value obtained for the total DFT energy (no corrections) is -3.150 eV/atom. Its excess energy over the best structure of this formula in the dataset is 294 meV per atom. The value obtained for the energy relative to the elements is -0.040 eV per atom. The crystal system is cubic.

a b c (Å): 5.7218 5.7218 5.7218
angles (deg): 60.00 60.00 60.00
Closest atoms and distances in Å follow each position.
Fractional positions:
La 0.0000 0.0000 0.0000  12 Mg 3.36, 4 Rh 3.50
Mg 0.1293 0.6236 0.6236  6 Mg 2.83-2.89
Mg 0.6236 0.1293 0.6236  6 Mg 2.83-2.89
Mg 0.6236 0.6236 0.1293  6 Mg 2.83-2.89
Mg 0.6236 0.6236 0.6236  6 Mg 2.83-2.89
Rh 0.2500 0.2500 0.2500  12 Mg 3.35, 4 La 3.50

=====

Below is LaMg2Rh after structural relaxation, with properties calculated at the GGA-PBE level.

Properties
The calculation puts the density of states at the Fermi level at 1.7 states/eV/f.u. Its space group is Cmmm (65). The value obtained for the total DFT energy (no corrections) is -3.929 eV/atom. The value obtained for the energy relative to the elements is -0.062 eV per atom. The crystal system is orthorhombic.

a b c (Å): 5.4580 5.4580 3.4053
angles (deg): 90.00 90.00 118.12
Closest atoms and distances in Å follow each position.
Fractional positions:
La 0.0000 0.0000 0.0000  2 Rh 2.81
Mg 0.0000 0.5000 0.5000  2 Mg 2.81
Mg 0.5000 0.0000 0.5000  2 Mg 2.81
Rh 0.5000 0.5000 0.0000  2 La 2.81

=====

Magnetization? In order: 0.000; 0.000; 0.000; 0.000 μB/cell.